Run 1
# LiTaPO | OQMD via LeMat-Bulk | PBE | optimized geometry
# SG: P4/nmm (129)
data_LiTaPO
_chemical_formula_sum 'Li2 Ta2 P2 O2'
_symmetry_space_group_name_H-M 'P 1'
_symmetry_Int_Tables_number 1
_cell_length_a 4.973
_cell_length_b 4.973
_cell_length_c 4.289
_cell_angle_alpha 90.00
_cell_angle_beta 90.00
_cell_angle_gamma 90.00
loop_
_symmetry_equiv_pos_as_xyz
'x,y,z'
loop_
_atom_site_label
_atom_site_type_symbol
_atom_site_fract_x
_atom_site_fract_y
_atom_site_fract_z
Li1 Li 0.250 0.250 0.001
Li2 Li 0.750 0.750 0.999
Ta1 Ta 0.250 0.750 0.500
Ta2 Ta 0.750 0.250 0.500
P1 P 0.250 0.250 0.501
P2 P 0.750 0.750 0.499
O1 O 0.250 0.750 0.000
O2 O 0.750 0.250 0.000

***

Run 2
# LiTaPO | OQMD via LeMat-Bulk | PBE | optimized geometry
# SG: P4/nmm (129)
data_LiTaPO
_chemical_formula_sum 'Li2 Ta2 P2 O2'
_symmetry_space_group_name_H-M 'P 1'
_symmetry_Int_Tables_number 1
_cell_length_a 3.399
_cell_length_b 3.399
_cell_length_c 8.505
_cell_angle_alpha 90.00
_cell_angle_beta 90.00
_cell_angle_gamma 90.00
loop_
_symmetry_equiv_pos_as_xyz
'x,y,z'
loop_
_atom_site_label
_atom_site_type_symbol
_atom_site_fract_x
_atom_site_fract_y
_atom_site_fract_z
Li1 Li 0.250 0.750 0.000
Li2 Li 0.750 0.250 0.000
Ta1 Ta 0.250 0.250 0.344
Ta2 Ta 0.750 0.750 0.656
P1 P 0.250 0.250 0.792
P2 P 0.750 0.750 0.208
O1 O 0.250 0.750 0.500
O2 O 0.750 0.250 0.500

***

Run 3
# LiTaPO | OQMD via LeMat-Bulk | PBE | optimized geometry
# SG: Pmc2_1 (26)
data_LiTaPO
_chemical_formula_sum 'Li2 Ta2 P2 O2'
_symmetry_space_group_name_H-M 'P 1'
_symmetry_Int_Tables_number 1
_cell_length_a 3.312
_cell_length_b 6.190
_cell_length_c 5.861
_cell_angle_alpha 90.00
_cell_angle_beta 90.00
_cell_angle_gamma 90.00
loop_
_symmetry_equiv_pos_as_xyz
'x,y,z'
loop_
_atom_site_label
_atom_site_type_symbol
_atom_site_fract_x
_atom_site_fract_y
_atom_site_fract_z
Li1 Li 0.000 0.116 0.000
Li2 Li 0.000 0.884 0.500
Ta1 Ta 0.500 0.487 0.687
Ta2 Ta 0.500 0.513 0.187
P1 P 0.000 0.283 0.422
P2 P 0.000 0.717 0.922
O1 O 0.500 0.270 0.936
O2 O 0.500 0.730 0.436

***

Run 4
# LiTaPO | OQMD via LeMat-Bulk | PBE | optimized geometry
# SG: Pmc2_1 (26)
data_LiTaPO
_chemical_formula_sum 'Li2 Ta2 P2 O2'
_symmetry_space_group_name_H-M 'P 1'
_symmetry_Int_Tables_number 1
_cell_length_a 3.876
_cell_length_b 5.601
_cell_length_c 5.045
_cell_angle_alpha 90.00
_cell_angle_beta 90.00
_cell_angle_gamma 90.00
loop_
_symmetry_equiv_pos_as_xyz
'x,y,z'
loop_
_atom_site_label
_atom_site_type_symbol
_atom_site_fract_x
_atom_site_fract_y
_atom_site_fract_z
Li1 Li 0.000 0.004 0.000
Li2 Li 0.000 0.996 0.500
Ta1 Ta 0.500 0.335 0.745
Ta2 Ta 0.500 0.665 0.245
P1 P 0.500 0.229 0.246
P2 P 0.500 0.771 0.746
O1 O 0.000 0.265 0.745
O2 O 0.000 0.735 0.245

***

In meV/atom, relative to the most stable structure: run 1 266; run 2 214; run 3 0; run 4 44.

***

Run 1
# LiTcPO | OQMD via LeMat-Bulk | PBE | optimized geometry
# SG: P4/nmm (129)
data_LiTcPO
_chemical_formula_sum 'Li2 Tc2 P2 O2'
_symmetry_space_group_name_H-M 'P 1'
_symmetry_Int_Tables_number 1
_cell_length_a 4.284
_cell_length_b 4.284
_cell_length_c 5.086
_cell_angle_alpha 90.00
_cell_angle_beta 90.00
_cell_angle_gamma 90.00
loop_
_symmetry_equiv_pos_as_xyz
'x,y,z'
loop_
_atom_site_label
_atom_site_type_symbol
_atom_site_fract_x
_atom_site_fract_y
_atom_site_fract_z
Li1 Li 0.250 0.250 0.121
Li2 Li 0.750 0.750 0.879
Tc1 Tc 0.250 0.750 0.500
Tc2 Tc 0.750 0.250 0.500
P1 P 0.250 0.250 0.670
P2 P 0.750 0.750 0.330
O1 O 0.250 0.750 0.000
O2 O 0.750 0.250 0.000

***

Run 2
# LiTcPO | OQMD via LeMat-Bulk | PBE | optimized geometry
# SG: P4/nmm (129)
data_LiTcPO
_chemical_formula_sum 'Li2 Tc2 P2 O2'
_symmetry_space_group_name_H-M 'P 1'
_symmetry_Int_Tables_number 1
_cell_length_a 3.316
_cell_length_b 3.316
_cell_length_c 8.509
_cell_angle_alpha 90.00
_cell_angle_beta 90.00
_cell_angle_gamma 90.00
loop_
_symmetry_equiv_pos_as_xyz
'x,y,z'
loop_
_atom_site_label
_atom_site_type_symbol
_atom_site_fract_x
_atom_site_fract_y
_atom_site_fract_z
Li1 Li 0.250 0.750 0.000
Li2 Li 0.750 0.250 0.000
Tc1 Tc 0.250 0.250 0.345
Tc2 Tc 0.750 0.750 0.655
P1 P 0.250 0.250 0.790
P2 P 0.750 0.750 0.210
O1 O 0.250 0.750 0.500
O2 O 0.750 0.250 0.500

***

In meV/atom, relative to the most stable structure: run 1 0; run 2 118.

***

Run 1
# LiTmPO | OQMD via LeMat-Bulk | PBE | optimized geometry
# SG: Pmc2_1 (26)
data_LiTmPO
_chemical_formula_sum 'Li2 Tm2 P2 O2'
_symmetry_space_group_name_H-M 'P 1'
_symmetry_Int_Tables_number 1
_cell_length_a 3.413
_cell_length_b 7.469
_cell_length_c 5.610
_cell_angle_alpha 90.00
_cell_angle_beta 90.00
_cell_angle_gamma 90.00
loop_
_symmetry_equiv_pos_as_xyz
'x,y,z'
loop_
_atom_site_label
_atom_site_type_symbol
_atom_site_fract_x
_atom_site_fract_y
_atom_site_fract_z
Li1 Li 0.000 0.078 0.000
Li2 Li 0.000 0.922 0.500
Tm1 Tm 0.500 0.303 0.372
Tm2 Tm 0.500 0.697 0.872
P1 P 0.500 0.327 0.867
P2 P 0.500 0.673 0.367
O1 O 0.000 0.145 0.339
O2 O 0.000 0.855 0.839

***

Run 2
# LiTmPO | OQMD via LeMat-Bulk | PBE | optimized geometry
# SG: P4/nmm (129)
data_LiTmPO
_chemical_formula_sum 'Li2 Tm2 P2 O2'
_symmetry_space_group_name_H-M 'P 1'
_symmetry_Int_Tables_number 1
_cell_length_a 5.473
_cell_length_b 5.473
_cell_length_c 4.500
_cell_angle_alpha 90.00
_cell_angle_beta 90.00
_cell_angle_gamma 90.00
loop_
_symmetry_equiv_pos_as_xyz
'x,y,z'
loop_
_atom_site_label
_atom_site_type_symbol
_atom_site_fract_x
_atom_site_fract_y
_atom_site_fract_z
Li1 Li 0.250 0.250 0.001
Li2 Li 0.750 0.750 0.999
Tm1 Tm 0.250 0.750 0.500
Tm2 Tm 0.750 0.250 0.500
P1 P 0.250 0.250 0.501
P2 P 0.750 0.750 0.499
O1 O 0.250 0.750 0.000
O2 O 0.750 0.250 0.000

***

Run 3
# LiTmPO | OQMD via LeMat-Bulk | PBE | optimized geometry
# SG: Pmc2_1 (26)
data_LiTmPO
_chemical_formula_sum 'Li2 Tm2 P2 O2'
_symmetry_space_group_name_H-M 'P 1'
_symmetry_Int_Tables_number 1
_cell_length_a 3.784
_cell_length_b 6.214
_cell_length_c 5.481
_cell_angle_alpha 90.00
_cell_angle_beta 90.00
_cell_angle_gamma 90.00
loop_
_symmetry_equiv_pos_as_xyz
'x,y,z'
loop_
_atom_site_label
_atom_site_type_symbol
_atom_site_fract_x
_atom_site_fract_y
_atom_site_fract_z
Li1 Li 0.000 0.165 0.000
Li2 Li 0.000 0.835 0.500
Tm1 Tm 0.500 0.245 0.554
Tm2 Tm 0.500 0.755 0.054
P1 P 0.000 0.485 0.280
P2 P 0.000 0.515 0.780
O1 O 0.500 0.059 0.880
O2 O 0.500 0.941 0.380

***

Run 4
# LiTmPO | OQMD via LeMat-Bulk | PBE | optimized geometry
# SG: P4/nmm (129)
data_LiTmPO
_chemical_formula_sum 'Li2 Tm2 P2 O2'
_symmetry_space_group_name_H-M 'P 1'
_symmetry_Int_Tables_number 1
_cell_length_a 3.696
_cell_length_b 3.696
_cell_length_c 9.396
_cell_angle_alpha 90.00
_cell_angle_beta 90.00
_cell_angle_gamma 90.00
loop_
_symmetry_equiv_pos_as_xyz
'x,y,z'
loop_
_atom_site_label
_atom_site_type_symbol
_atom_site_fract_x
_atom_site_fract_y
_atom_site_fract_z
Li1 Li 0.250 0.750 0.000
Li2 Li 0.750 0.250 0.000
Tm1 Tm 0.250 0.250 0.379
Tm2 Tm 0.750 0.750 0.621
P1 P 0.250 0.250 0.814
P2 P 0.750 0.750 0.186
O1 O 0.250 0.750 0.500
O2 O 0.750 0.250 0.500

***

In meV/atom, relative to the most stable structure: run 1 98; run 2 411; run 3 68; run 4 0.

***

Run 1
# LiZnPO | OQMD via LeMat-Bulk | PBE | optimized geometry
# SG: P4/nmm (129)
data_LiZnPO
_chemical_formula_sum 'Li2 Zn2 P2 O2'
_symmetry_space_group_name_H-M 'P 1'
_symmetry_Int_Tables_number 1
_cell_length_a 3.709
_cell_length_b 3.709
_cell_length_c 8.810
_cell_angle_alpha 90.00
_cell_angle_beta 90.00
_cell_angle_gamma 90.00
loop_
_symmetry_equiv_pos_as_xyz
'x,y,z'
loop_
_atom_site_label
_atom_site_type_symbol
_atom_site_fract_x
_atom_site_fract_y
_atom_site_fract_z
Li1 Li 0.250 0.750 0.000
Li2 Li 0.750 0.250 0.000
Zn1 Zn 0.250 0.250 0.414
Zn2 Zn 0.750 0.750 0.586
P1 P 0.250 0.250 0.803
P2 P 0.750 0.750 0.197
O1 O 0.250 0.750 0.500
O2 O 0.750 0.250 0.500

***

Run 2
# LiZnPO | OQMD via LeMat-Bulk | PBE | optimized geometry
# SG: P4/nmm (129)
data_LiZnPO
_chemical_formula_sum 'Li2 Zn2 P2 O2'
_symmetry_space_group_name_H-M 'P 1'
_symmetry_Int_Tables_number 1
_cell_length_a 3.871
_cell_length_b 3.871
_cell_length_c 6.660
_cell_angle_alpha 90.00
_cell_angle_beta 90.00
_cell_angle_gamma 90.00
loop_
_symmetry_equiv_pos_as_xyz
'x,y,z'
loop_
_atom_site_label
_atom_site_type_symbol
_atom_site_fract_x
_atom_site_fract_y
_atom_site_fract_z
Li1 Li 0.250 0.250 0.086
Li2 Li 0.750 0.750 0.914
Zn1 Zn 0.250 0.750 0.500
Zn2 Zn 0.750 0.250 0.500
P1 P 0.250 0.250 0.725
P2 P 0.750 0.750 0.275
O1 O 0.250 0.750 0.000
O2 O 0.750 0.250 0.000

***

In meV/atom, relative to the most stable structure: run 1 145; run 2 0.